Density functional theory data (PBE) for an optimized crystal structure of K3RuF8.

Lattice parameters (Å, degrees): 7.0575 7.0575 7.0575 130.79 130.79 72.15
Atoms (fractional coordinates):
1 K 0.0000 0.0000 0.0000
2 K 0.2500 0.7500 0.5000
3 K 0.7500 0.2500 0.5000
4 Ru 0.5000 0.5000 0.0000
5 F 0.1963 0.1963 0.5990
6 F 0.1963 0.5973 0.0000
7 F 0.4027 0.4027 0.5990
8 F 0.4027 0.8037 0.0000
9 F 0.5973 0.1963 0.0000
10 F 0.5973 0.5973 0.4010
11 F 0.8037 0.4027 0.0000
12 F 0.8037 0.8037 0.4010

size of the total moment = 1.000 μB/f.u.
SG = I4/mmm (139)
formation energy without anion corrections = -2.203 eV per atom



Density functional theory data (PBE) for an optimized crystal structure of K6RuF12.

Lattice parameters (Å, degrees): 7.5636 7.5636 7.5636 99.11 99.11 99.11
Atoms (fractional coordinates):
1 K 0.0988 0.8287 0.6543
2 K 0.1713 0.3457 0.9012
3 K 0.3457 0.9012 0.1713
4 K 0.6543 0.0988 0.8287
5 K 0.8287 0.6543 0.0988
6 K 0.9012 0.1713 0.3457
7 Ru 0.5000 0.5000 0.5000
8 F 0.0742 0.8989 0.3332
9 F 0.1011 0.6668 0.9258
10 F 0.2507 0.4316 0.5165
11 F 0.3332 0.0742 0.8989
12 F 0.4316 0.5165 0.2507
13 F 0.4835 0.7493 0.5684
14 F 0.5165 0.2507 0.4316
15 F 0.5684 0.4835 0.7493
16 F 0.6668 0.9258 0.1011
17 F 0.7493 0.5684 0.4835
18 F 0.8989 0.3332 0.0742
19 F 0.9258 0.1011 0.6668

size of the total moment = 4.123 μB/f.u.
SG = R-3 (148)
formation energy without anion corrections = -2.319 eV per atom